## PWAuO2 (PBE+U)

Data for a geometry-optimized PWAuO2 structure.

abc: 4.0029 4.0029 4.9966
angles: 90.00 90.00 90.00
Closest atoms and distances in Å follow each position.
Sites, in units of the cell vectors:
P  0.0000  0.0000  0.0000  2 Au 2.50
W  0.5000  0.5000  0.0000  4 P 2.83
Au  0.0000  0.0000  0.5000  4 O 2.00
O  0.0000  0.5000  0.5000  2 Au 2.00
O  0.5000  0.0000  0.5000  2 Au 2.00

Results
The crystal system is tetragonal. The density of states at the Fermi level is 0.22 states/eV per atom. The total DFT energy (no corrections) is -4.4849 eV per atom. For the total magnetic moment, the calculation gives 3.01 μB per cell.